DFT (PBE) results for a relaxed Sc2TaCu crystal.

## Properties
- Formation energy: 0.210 eV per atom
- D(E_F): 5.4 states/eV/cell
- ΔE to the lowest computed polymorph: 258.0 meV/atom

Structure (extended XYZ):
```
4
Lattice="-2.1208 2.1208 4.1561 2.1208 -2.1208 4.1561 2.1208 2.1208 -4.1561" Properties=species:S:1:pos:R:3 pbc="T T T"
Sc 2.1208 0.0000 2.0781
Sc 0.0000 2.1208 2.0781
Ta 0.0000 0.0000 0.0000
Cu 0.0000 0.0000 4.1561
```


DFT (PBE) results for a relaxed InCuBi2P crystal.

## Properties
- Formation energy: 1.018 eV per atom
- D(E_F): 4.4 states/eV/cell

Structure (extended XYZ):
```
5
Lattice="5.7149 0.0000 0.0000 0.0000 5.7149 0.0000 0.0000 0.0000 4.7393" Properties=species:S:1:pos:R:3 pbc="T T T"
In 0.0000 0.0000 0.0000
Cu 0.0000 0.0000 2.3696
Bi 0.0000 2.8575 0.0000
Bi 2.8575 0.0000 0.0000
P 2.8575 2.8575 2.3696
```


DFT (PBE) results for a relaxed Be2SiAu crystal.

## Properties
- D(E_F): 1.1 states/eV/cell
- E_form (uncorrected): 187 meV/atom

Structure (extended XYZ):
```
4
Lattice="3.7737 -1.6440 0.0000 3.7737 1.6440 0.0000 -0.8269 0.0000 4.1484" Properties=species:S:1:pos:R:3 pbc="T T T"
Be 1.6773 0.0000 0.8877
Be 5.0431 0.0000 3.2608
Si 3.7737 0.0000 0.0000
Au -0.4134 0.0000 2.0742
```


DFT (PBE) results for a relaxed DyAl2GaRh4 crystal.

## Properties
- Formation energy: -0.894 eV per atom
- D(E_F): 1.6 states/eV/cell

Structure (extended XYZ):
```
8
Lattice="2.1916 1.2653 7.3710 -2.1916 1.2653 7.3710 0.0000 -2.5306 7.3710" Properties=species:S:1:pos:R:3 pbc="T T T"
Dy 0.0000 0.0000 0.0000
Al 0.0000 0.0000 5.4340
Al 0.0000 0.0000 16.6791
Ga 0.0000 0.0000 11.0565
Rh 0.0000 0.0000 2.8622
Rh 0.0000 0.0000 8.5379
Rh 0.0000 0.0000 13.5751
Rh 0.0000 0.0000 19.2509
```


DFT (PBE) results for a relaxed CeYSbAs crystal.

## Properties
- D(E_F): 6.2 states/eV/cell
- E_form (uncorrected): -1285 meV/atom

Structure (extended XYZ):
```
4
Lattice="2.1471 1.2397 7.0733 -2.1471 1.2397 7.0733 0.0000 -2.4793 7.0733" Properties=species:S:1:pos:R:3 pbc="T T T"
Ce 0.0000 0.0000 0.0000
Y 0.0000 0.0000 10.8567
Sb 0.0000 0.0000 16.0739
As 0.0000 0.0000 5.4005
```


DFT (PBE) results for a relaxed LaZn3Ni crystal.

## Properties
- Formation energy: -0.264 eV per atom
- D(E_F): 5.0 states/eV/cell
- ΔE to the lowest computed polymorph: 54.2 meV/atom

Structure (extended XYZ):
```
5
Lattice="4.6273 0.0000 0.0000 0.0000 4.6273 0.0000 0.0000 0.0000 4.6273" Properties=species:S:1:pos:R:3 pbc="T T T"
La 0.0000 0.0000 0.0000
Zn 0.0000 2.3137 2.3137
Zn 2.3137 0.0000 2.3137
Zn 2.3137 2.3137 0.0000
Ni 2.3137 2.3137 2.3137
```


DFT (PBE) results for a relaxed CaYTm2Tl4 crystal.

## Properties
- Formation energy: -0.342 eV per atom
- D(E_F): 5.1 states/eV/cell

Structure (extended XYZ):
```
8
Lattice="2.6814 1.5481 8.7899 -2.6814 1.5481 8.7899 0.0000 -3.0962 8.7899" Properties=species:S:1:pos:R:3 pbc="T T T"
Ca 0.0000 0.0000 0.0000
Y 0.0000 0.0000 13.1848
Tm 0.0000 0.0000 6.6330
Tm 0.0000 0.0000 19.7366
Tl 0.0000 0.0000 3.3148
Tl 0.0000 0.0000 9.9140
Tl 0.0000 0.0000 16.4556
Tl 0.0000 0.0000 23.0548
```


DFT (PBE) results for a relaxed YMgCoCu2 crystal.

## Properties
- Formation energy: 1.128 eV per atom
- D(E_F): 4.2 states/eV/cell

Structure (extended XYZ):
```
5
Lattice="4.4866 0.0000 0.0000 0.0000 4.4866 0.0000 0.0000 0.0000 5.4901" Properties=species:S:1:pos:R:3 pbc="T T T"
Y 0.0000 0.0000 0.0000
Mg 0.0000 0.0000 2.7451
Co 2.2433 2.2433 0.0000
Cu 0.0000 2.2433 2.7451
Cu 2.2433 0.0000 2.7451
```


> Which formula does entry 5 have?

CeYSbAs


> Among the records above, which one has the highest D(E_F)?

CeYSbAs


> Which of these has the highest D(E_F)?

CeYSbAs


> Which value of D(E_F) does entry 7 give?

5.1 states/eV/cell